Entry 1:
LaCrN2 | the Alexandria database | GGA-PBE | relaxed; crystal system = orthorhombic; SG = No. 64; formation energy (no corrections) = -941 meV per atom
1.0
-4.845 2.339 0.257
0.800 -4.959 3.770
2.402 4.396 5.272
Cr N La
4 8 4
Direct
0.938 0.876 0.147
0.562 0.124 0.647
0.062 0.124 0.853
0.438 0.876 0.353
0.097 0.695 0.250
0.607 0.215 0.400
0.393 0.785 0.600
0.403 0.305 0.750
0.107 0.215 0.100
0.903 0.305 0.750
0.893 0.785 0.900
0.597 0.695 0.250
0.671 0.342 0.079
0.171 0.342 0.421
0.829 0.658 0.579
0.329 0.658 0.921

***

Entry 2:
CrCoIr2 | the Alexandria database | GGA-PBE | relaxed; energy of formation from the pure elements = -0.055 eV/atom; crystal system = monoclinic; SG = No. 12
1.0
-0.124 -3.726 -2.568
1.837 -2.165 -3.526
3.141 -2.593 2.204
Ir Cr Co
2 1 1
Direct
0.002 0.002 0.002
0.498 0.498 0.498
0.750 0.750 0.750
0.250 0.250 0.250

***

Entry 3:
SrGeSbI2 | the Alexandria database | GGA-PBE | relaxed; crystal system = tetragonal; SG = No. 123; formation energy (no corrections) = -342 meV per atom
1.0
-2.270 -3.590 -3.844
3.538 -4.140 1.777
-3.830 -1.644 3.795
Sr I Ge Sb
1 2 1 1
Direct
0.500 0.500 0.500
0.500 0.000 0.000
0.000 0.500 0.000
0.000 0.000 0.000
0.000 0.000 0.500

***

Entry 4:
Nd2TlHg6 | the Alexandria database | GGA-PBE | relaxed; energy of formation from the pure elements = -0.268 eV/atom; crystal system = monoclinic; SG = No. 12
1.0
-3.190 0.748 1.211
0.474 -6.901 5.509
2.883 7.946 2.608
Hg Tl Nd
6 1 2
Direct
0.501 0.332 0.332
0.499 0.000 0.668
0.499 0.668 0.668
0.501 0.000 0.332
0.500 0.668 0.000
0.500 0.332 0.000
0.000 0.000 0.000
0.001 0.333 0.666
0.999 0.667 0.334

***

Entry 5:
GaSnS2Cl | the Alexandria database | GGA-PBE | relaxed; crystal system = tetragonal; SG = No. 123; formation energy (no corrections) = -288 meV per atom
1.0
-3.815 -2.935 -0.204
1.830 -2.629 3.599
-2.264 2.724 3.141
Sn S Ga Cl
1 2 1 1
Direct
0.500 0.500 0.500
0.000 0.500 0.000
0.500 0.000 0.000
0.000 0.000 0.000
0.000 0.000 0.500

***

no.,electronic total energy (eV for the cell shown),total magnetization (μB/f.u.)
1,-139.9,1.2
2,-34.7,0.1
3,-15.2,0.0
4,-16.1,0.0
5,-18.6,0.0